Entry 1:
16
Lattice="10.796 0.000 0.000 0.000 10.796 0.000 0.000 0.000 3.414" Properties=species:S:1:pos:R:3 comment="ScCl, relaxed, DFT GGA-PBE" final_energy_ev_per_atom=-5.3298 raw_formation_energy_ev_per_atom=-1.2407 pbc="T T T"
Sc 1.169 7.039 0.000
Sc 1.218 2.052 1.707
Sc 2.052 9.578 1.707
Sc 3.757 1.169 0.000
Sc 7.039 9.627 0.000
Sc 8.744 1.218 1.707
Sc 9.578 8.744 1.707
Sc 9.627 3.757 0.000
Cl 1.256 4.281 0.000
Cl 3.039 7.017 1.707
Cl 3.779 3.039 1.707
Cl 4.281 9.540 0.000
Cl 6.515 1.256 0.000
Cl 7.017 7.757 1.707
Cl 7.757 3.779 1.707
Cl 9.540 6.515 0.000

***

Entry 2:
4
Lattice="1.816 1.049 6.707 -1.816 1.049 6.707 0.000 -2.097 6.707" Properties=species:S:1:pos:R:3 comment="Pu2AsN, relaxed, DFT GGA-PBE" polymorph_energy_ev_per_atom=0.298 final_energy_ev_per_atom=-11.1817 raw_formation_energy_ev_per_atom=-0.7720 pbc="T T T"
Pu 0.000 0.000 0.000
Pu 0.000 0.000 2.691
As 0.000 0.000 11.374
N 0.000 0.000 14.818

***

Entry 3:
12
Lattice="2.542 -7.655 0.000 2.542 7.655 0.000 0.000 0.000 7.184" Properties=species:S:1:pos:R:3 comment="Ho6Ag5Pd, relaxed, DFT GGA-PBE" final_energy_ev_per_atom=-4.3357 ef_ev_per_atom=-0.426 pbc="T T T"
Ho 0.000 0.000 1.742
Ho 0.000 0.000 5.442
Ho 2.542 2.491 1.775
Ho 2.542 2.491 5.409
Ho 2.542 -2.491 1.775
Ho 2.542 -2.491 5.409
Ag 2.542 5.087 3.592
Ag 2.542 5.030 0.000
Ag 2.542 0.000 3.592
Ag 2.542 -5.030 0.000
Ag 2.542 -5.087 3.592
Pd 2.542 0.000 0.000

***

Entry 4:
12
Lattice="7.914 -2.911 0.000 7.914 2.911 0.000 -7.119 0.000 9.182" Properties=species:S:1:pos:R:3 comment="CdBi4Pb7, relaxed, DFT GGA-PBE" final_energy_ev_per_atom=-3.4415 ef_ev_per_atom=0.092 pbc="T T T"
Cd 0.000 0.000 0.000
Bi -0.421 0.000 6.097
Bi 5.253 0.000 2.046
Bi 3.456 0.000 7.136
Bi 9.130 0.000 3.085
Pb -0.992 0.000 2.927
Pb -3.015 0.000 8.000
Pb 2.570 0.000 3.859
Pb 7.914 0.000 0.000
Pb 6.139 0.000 5.323
Pb 11.724 0.000 1.182
Pb 9.700 0.000 6.255

***

Entry 5:
5
Lattice="3.901 0.000 0.000 0.000 3.901 0.000 0.000 0.000 3.742" Properties=species:S:1:pos:R:3 comment="CuNiMo2H, relaxed, DFT GGA-PBE" final_energy_ev_per_atom=-6.8319 pbc="T T T"
Cu 0.000 0.000 0.000
Ni 1.950 1.950 0.000
Mo 0.000 1.950 1.871
Mo 1.950 0.000 1.871
H 1.950 1.950 1.871

***

Entry 6:
4
Lattice="0.000 3.431 3.431 3.431 0.000 3.431 3.431 3.431 0.000" Properties=species:S:1:pos:R:3 comment="PaZn2Hg, relaxed, DFT GGA-PBE" polymorph_energy_ev_per_atom=0.058 final_energy_ev_per_atom=-3.0217 ef_ev_per_atom=0.065 pbc="T T T"
Pa 0.000 0.000 0.000
Zn 1.715 1.715 1.715
Zn 5.146 5.146 5.146
Hg 3.431 3.431 3.431

***

Entry 7:
4
Lattice="4.620 -1.582 0.000 4.620 1.582 0.000 -1.061 0.000 5.530" Properties=species:S:1:pos:R:3 comment="TlCr2Cd, relaxed, DFT GGA-PBE" final_energy_ev_per_atom=-4.9353 ef_ev_per_atom=0.697 pbc="T T T"
Tl 0.000 0.000 0.000
Cr 1.511 0.000 4.130
Cr 6.669 0.000 1.399
Cd 4.090 0.000 2.765

***

Entry 8:
5
Lattice="4.678 0.000 0.000 0.000 4.678 0.000 0.000 0.000 5.436" Properties=species:S:1:pos:R:3 comment="VAsSe2I, relaxed, DFT GGA-PBE" polymorph_energy_ev_per_atom=0.000 final_energy_ev_per_atom=-4.3896 raw_formation_energy_ev_per_atom=0.0679 pbc="T T T"
V 0.000 0.000 0.000
As 0.000 0.000 2.718
Se 0.000 2.339 0.000
Se 2.339 0.000 0.000
I 2.339 2.339 2.718